Computed, not measured: an optimized crystal structure of La2In4Pb at the PBE level of DFT.

It has space group Fmmm (No. 69), with a = 6.078 Å, b = 11.401 Å, c = 12.032 Å, α = 90.00°, β = 90.00° and γ = 90.00°. The inequivalent atoms are La at (0.000, 0.000, 0.143), In at (0.250, 0.250, 0.000), In at (0.250, 0.250, 0.250) and Pb at (0.000, 0.000, 0.500).

The calculation puts the electronic total energy at -104.75 eV for the cell shown. As for the density: 7.52 g/cm3. The magnetization comes out at 0.00 μB per formula unit.